1.
! ReAgIr (GGA-PBE, optimized geometry); values from VASP
! Formation enthalpy at 0 K ... 213.8 meV per atom
! E_tot ... -7.84 eV/atom
! Size of the total moment ... 0.00 μB per formula unit
! D(E_F) ... 0.8756 states/eV per atom
&SYSTEM
  ibrav = 0, nat = 3, ntyp = 3
/
ATOMIC_SPECIES
Re 186.21 Re.upf
Ag 107.87 Ag.upf
Ir 192.22 Ir.upf
CELL_PARAMETERS angstrom
2.771 0.000 0.000
-1.386 2.400 0.000
0.000 0.000 7.058
ATOMIC_POSITIONS angstrom
Re 0.000 0.000 0.000
Ag 1.386 0.800 2.476
Ir 0.000 1.600 4.954


2.
! Nb2InAs2 (GGA-PBE, optimized geometry); values from VASP
! Formation enthalpy at 0 K ... -166.3 meV per atom
! E_tot ... -6.60 eV/atom
! Size of the total moment ... 0.00 μB per formula unit
! D(E_F) ... 0.7998 states/eV per atom
&SYSTEM
  ibrav = 0, nat = 10, ntyp = 3
/
ATOMIC_SPECIES
Nb 92.91 Nb.upf
In 114.82 In.upf
As 74.92 As.upf
CELL_PARAMETERS angstrom
7.530 0.000 0.000
0.000 7.530 0.000
0.000 0.000 3.264
ATOMIC_POSITIONS angstrom
Nb 1.149 2.616 0.000
Nb 2.616 6.382 0.000
Nb 4.914 1.149 0.000
Nb 6.382 4.914 0.000
In 0.000 0.000 1.632
In 3.765 3.765 1.632
As 1.041 4.806 1.632
As 2.724 1.041 1.632
As 4.806 6.490 1.632
As 6.490 2.724 1.632


3.
! Sr2Sb4IrRh3 (GGA-PBE, optimized geometry); values from VASP
! ΔE_f (raw) ... -0.66 eV/atom
! E_tot ... -5.74 eV/atom
! Size of the total moment ... 0.00 μB per formula unit
! D(E_F) ... 0.6468 states/eV per atom
&SYSTEM
  ibrav = 0, nat = 10, ntyp = 4
/
ATOMIC_SPECIES
Sr 87.62 Sr.upf
Sb 121.76 Sb.upf
Ir 192.22 Ir.upf
Rh 102.91 Rh.upf
CELL_PARAMETERS angstrom
4.563 0.000 0.000
0.000 4.563 0.000
0.000 0.000 10.810
ATOMIC_POSITIONS angstrom
Sr 0.000 2.281 2.696
Sr 2.281 0.000 8.114
Sb 0.000 0.000 5.405
Sb 0.000 2.281 9.407
Sb 2.281 0.000 1.403
Sb 2.281 2.281 5.405
Ir 2.281 2.281 0.000
Rh 0.000 0.000 0.000
Rh 0.000 2.281 6.769
Rh 2.281 0.000 4.041


4.
! Li2YAg (GGA-PBE, optimized geometry); values from VASP
! Formation enthalpy at 0 K ... -25.2 meV per atom
! E_tot ... -3.31 eV/atom
! Size of the total moment ... 0.00 μB per formula unit
! D(E_F) ... 0.7498 states/eV per atom
&SYSTEM
  ibrav = 0, nat = 4, ntyp = 3
/
ATOMIC_SPECIES
Li 6.94 Li.upf
Y 88.91 Y.upf
Ag 107.87 Ag.upf
CELL_PARAMETERS angstrom
3.453 0.000 0.000
0.000 3.453 0.000
0.000 0.000 6.910
ATOMIC_POSITIONS angstrom
Li 0.000 0.000 1.293
Li 0.000 0.000 5.617
Y 1.726 1.726 3.455
Ag 1.726 1.726 0.000


5.
! Pa2AlSi2 (GGA-PBE, optimized geometry); values from VASP
! ΔE_f (raw) ... -0.47 eV/atom
! E_tot ... -7.19 eV/atom
! Size of the total moment ... 0.00 μB per formula unit
! D(E_F) ... 1.4046 states/eV per atom
&SYSTEM
  ibrav = 0, nat = 5, ntyp = 3
/
ATOMIC_SPECIES
Pa 231.04 Pa.upf
Al 26.98 Al.upf
Si 28.09 Si.upf
CELL_PARAMETERS angstrom
-1.977 2.837 4.443
1.977 -2.837 4.443
1.977 2.837 -4.443
ATOMIC_POSITIONS angstrom
Pa 0.000 0.000 1.936
Pa 0.000 0.000 6.950
Al 0.000 2.837 0.000
Si 1.977 1.181 0.000
Si 0.000 1.656 4.443


6.
! MnZnFeH2 (GGA-PBE, optimized geometry); values from VASP
! E_tot ... -4.22 eV/atom
! Size of the total moment ... 0.38 μB per formula unit
! D(E_F) ... 0.8287 states/eV per atom
&SYSTEM
  ibrav = 0, nat = 5, ntyp = 4
/
ATOMIC_SPECIES
Mn 54.94 Mn.upf
Zn 65.41 Zn.upf
Fe 55.84 Fe.upf
H 1.01 H.upf
CELL_PARAMETERS angstrom
3.336 0.000 0.000
0.000 3.336 0.000
0.000 0.000 5.312
ATOMIC_POSITIONS angstrom
Mn 0.000 0.000 0.000
Zn 0.000 0.000 2.656
Fe 1.668 1.668 0.000
H 0.000 1.668 2.656
H 1.668 0.000 2.656


7.
! Co2OsPt (GGA-PBE, optimized geometry); values from VASP
! Formation enthalpy at 0 K ... 293.7 meV per atom
! E_tot ... -7.58 eV/atom
! Size of the total moment ... 3.84 μB per formula unit
! D(E_F) ... 1.8507 states/eV per atom
&SYSTEM
  ibrav = 0, nat = 4, ntyp = 3
/
ATOMIC_SPECIES
Co 58.93 Co.upf
Os 190.23 Os.upf
Pt 195.08 Pt.upf
CELL_PARAMETERS angstrom
1.363 -2.267 0.000
1.363 2.267 0.000
0.000 0.000 8.785
ATOMIC_POSITIONS angstrom
Co 0.000 0.000 2.142
Co 0.000 0.000 6.643
Os 1.363 0.000 0.000
Pt 1.363 0.000 4.393